First-principles (GGA-PBE) data for TbHoSiSe after structural relaxation, as listed in the Alexandria database.

a = 4.1006 Å, b = 4.1006 Å, c = 7.1958 Å
α = 73.45°, β = 73.45°, γ = 60.00°
Element x y z (fractional)
Se1 0.6932 0.6932 0.9204
Ho1 0.9396 0.9396 0.1811
Tb1 0.4487 0.4487 0.6539
Si1 0.1949 0.1949 0.4154

Calculated values
Its density of states at the Fermi level is 1.27 states/eV/f.u. The value obtained for the volume is 99.0 Å³/f.u. The raw total energy comes out at -5.8279 eV per atom. The magnetization is 0.00 μB/f.u.



First-principles (GGA-PBE) data for Ho6SiTe3Se2 after structural relaxation, as listed in the Alexandria database.

a = 7.2214 Å, b = 7.2214 Å, c = 7.4341 Å
α = 99.29°, β = 99.29°, γ = 119.96°
Element x y z (fractional)
Se1 0.3341 0.6659 0.0000
Se2 0.6659 0.3341 0.0000
Ho1 0.6073 0.9284 0.7842
Ho2 0.9284 0.6073 0.7842
Ho3 0.0716 0.3927 0.2158
Ho4 0.3927 0.0716 0.2158
Ho5 0.7524 0.7524 0.2179
Ho6 0.2476 0.2476 0.7821
Si1 0.0000 0.0000 0.0000
Te1 0.5000 0.5000 0.5000
Te2 0.8297 0.1703 0.5000
Te3 0.1703 0.8297 0.5000

Calculated values
Its density of states at the Fermi level is 4.73 states/eV/f.u. The value obtained for the volume is 317.9 Å³/f.u. The raw total energy comes out at -5.5275 eV per atom. The magnetization is 0.00 μB/f.u.



> The highest raw total energy belongs to which entry?

Ho6SiTe3Se2